<A>
# Ce5Si2Hg PBE relaxed
# Mass density: 7.75 g/cm³
# Total magnetic moment: 0.411 μB per atom
data_Ce5Si2Hg
_cell_length_a 5.187
_cell_length_b 9.407
_cell_length_c 16.813
_cell_angle_alpha 90.00
_cell_angle_beta 90.00
_cell_angle_gamma 90.00
_space_group_name_H-M_alt 'C m c m'
_space_group_IT_number 63
_space_group_name_Hall '-C 2c 2'
loop_
_atom_site_label
_atom_site_type_symbol
_atom_site_fract_x
_atom_site_fract_y
_atom_site_fract_z
Ce1 Ce 0.000 0.066 0.070
Ce2 Ce 0.000 0.265 0.750
Ce3 Ce 0.000 0.408 0.099
Si1 Si 0.000 0.267 0.572
Hg1 Hg 0.000 0.060 0.250

---

<B>
# Ce5Si2Hg PBE relaxed
# Mass density: 7.55 g/cm³
# Total magnetic moment: 0.683 μB per atom
data_Ce5Si2Hg
_cell_length_a 7.677
_cell_length_b 7.677
_cell_length_c 14.289
_cell_angle_alpha 90.00
_cell_angle_beta 90.00
_cell_angle_gamma 90.00
_space_group_name_H-M_alt 'I 4/m c m'
_space_group_IT_number 140
_space_group_name_Hall '-I 4 2c'
loop_
_atom_site_label
_atom_site_type_symbol
_atom_site_fract_x
_atom_site_fract_y
_atom_site_fract_z
Ce1 Ce 0.000 0.000 0.000
Ce2 Ce 0.174 0.326 0.141
Si1 Si 0.117 0.383 0.500
Hg1 Hg 0.000 0.000 0.250

---

Which structure loses on stability? <A> does.